[1]
Crystalline LiCdRu2 at its relaxed geometry, computed with PBE.

a = 5.2045 Å, b = 5.2045 Å, c = 5.2045 Å
α = 138.72°, β = 138.72°, γ = 59.79°
Closest atoms and distances in Å follow each position.
Atoms (fractional coordinates):
1 Cd 0.2500 0.7500 0.5000  4 Li 2.59
2 Ru 0.0000 0.0000 0.0000  4 Ru 2.59
3 Ru 0.5000 0.5000 0.0000  4 Ru 2.59
4 Li 0.7500 0.2500 0.5000  4 Cd 2.59

- electronic total energy (eV/atom) = -5.022
- symmetry = I4/mmm
- mass density (g cm⁻³) = 8.8
- calculated formation energy (eV/atom) = 0.323
- magnetic moment (μB/f.u.) = 0.0

***

[2]
Crystalline NiIrN2 at its relaxed geometry, computed with PBE.

a = 6.2687 Å, b = 6.2687 Å, c = 6.2687 Å
α = 25.57°, β = 25.57°, γ = 25.57°
Closest atoms and distances in Å follow each position.
Atoms (fractional coordinates):
1 N 0.8933 0.8933 0.8933  3 Ni 1.94, 1 Ir 1.94
2 N 0.1067 0.1067 0.1067  3 Ni 1.94, 1 Ir 1.94
3 Ir 0.0000 0.0000 0.0000  2 N 1.94
4 Ni 0.5000 0.5000 0.5000  6 N 1.94

- electronic total energy (eV/atom) = -7.333
- symmetry = R-3m
- E_form (uncorrected) (eV/atom) = 0.49
- mass density (g cm⁻³) = 11.5
- polymorph energy (0 for the lowest one) (meV/atom) = 0.0
- magnetic moment (μB/f.u.) = 0.0

***

[3]
Crystalline LiCaIr2C at its relaxed geometry, computed with PBE.

a = 4.0800 Å, b = 4.0800 Å, c = 4.4347 Å
α = 90.00°, β = 90.00°, γ = 90.00°
Closest atoms and distances in Å follow each position.
Atoms (fractional coordinates):
1 C 0.0000 0.0000 0.0000  4 Ir 2.04, 2 Li 2.22
2 Li 0.0000 0.0000 0.5000  2 C 2.22
3 Ir 0.0000 0.5000 0.0000  2 C 2.04
4 Ir 0.5000 0.0000 0.0000  2 C 2.04
5 Ca 0.5000 0.5000 0.5000  4 Li 2.88, 8 Ir 3.01

- electronic total energy (eV/atom) = -6.414
- symmetry = P4/mmm
- mass density (g cm⁻³) = 10.0
- calculated formation energy (eV/atom) = -0.242
- magnetic moment (μB/f.u.) = 0.0

***

[4]
Crystalline TaZnPd at its relaxed geometry, computed with PBE.

a = 4.6328 Å, b = 7.3356 Å, c = 7.3356 Å
α = 90.00°, β = 90.00°, γ = 90.00°
Closest atoms and distances in Å follow each position.
Atoms (fractional coordinates):
1 Ta 0.5000 0.5000 0.3141  4 Pd 2.54-2.77, 1 Ta 2.73
2 Ta 0.5000 0.5000 0.6859  4 Pd 2.54-2.77, 1 Ta 2.73
3 Ta 0.0000 0.3141 0.5000  4 Pd 2.54-2.77, 1 Ta 2.73
4 Ta 0.0000 0.6859 0.5000  4 Pd 2.54-2.77, 1 Ta 2.73
5 Zn 0.0000 0.1795 0.0000  1 Zn 2.63, 2 Pd 2.66
6 Zn 0.5000 0.0000 0.8205  1 Zn 2.63, 2 Pd 2.66
7 Zn 0.0000 0.8205 0.0000  1 Zn 2.63, 2 Pd 2.66
8 Zn 0.5000 0.0000 0.1795  1 Zn 2.63, 2 Pd 2.66
9 Pd 0.5000 0.8289 0.5000  1 Pd 2.51, 4 Ta 2.54-2.77, 2 Zn 2.66
10 Pd 0.5000 0.1711 0.5000  1 Pd 2.51, 4 Ta 2.54-2.77, 2 Zn 2.66
11 Pd 0.0000 0.5000 0.1711  1 Pd 2.51, 4 Ta 2.54-2.77, 2 Zn 2.66
12 Pd 0.0000 0.5000 0.8289  1 Pd 2.51, 4 Ta 2.54-2.77, 2 Zn 2.66

- electronic total energy (eV/atom) = -5.826
- symmetry = P4_2/mmc
- mass density (g cm⁻³) = 9.4
- calculated formation energy (eV/atom) = 0.281
- magnetic moment (μB/f.u.) = 0.0

***

[5]
Crystalline Zn3B7BrO13 at its relaxed geometry, computed with PBE.

a = 8.6519 Å, b = 8.6746 Å, c = 12.2463 Å
α = 90.00°, β = 90.00°, γ = 90.00°
Closest atoms and distances in Å follow each position.
Atoms (fractional coordinates):
1 O 0.6422 0.8240 0.4439  2 B 1.46-1.47
2 O 0.7290 0.7498 0.2578  3 B 1.56-1.57
3 O 0.3335 0.9750 0.7486  2 B 1.45-1.47
4 O 0.6153 0.6729 0.9556  2 B 1.38-1.51
5 O 0.4101 0.0586 0.1771  2 B 1.46-1.48
6 O 0.1665 0.9750 0.2486  2 B 1.45-1.47
7 O 0.6735 0.8755 0.0843  2 B 1.46-1.47
8 O 0.5438 0.3310 0.2963  2 B 1.38-1.51
9 O 0.2290 0.2502 0.2578  3 B 1.56-1.57
10 O 0.4115 0.4603 0.6717  2 B 1.47
11 O 0.5477 0.5918 0.3637  2 B 1.45-1.47
12 O 0.9101 0.9414 0.1771  2 B 1.46-1.48
13 O 0.9115 0.5397 0.6717  2 B 1.47
14 O 0.9651 0.9097 0.3741  2 B 1.38-1.51
15 O 0.3358 0.5156 0.2498  2 B 1.46-1.47
16 O 0.3197 0.3629 0.0858  2 B 1.46-1.48
17 O 0.0885 0.4603 0.1717  2 B 1.47
18 O 0.8847 0.6729 0.4556  2 B 1.38-1.51
19 O 0.9523 0.5918 0.8637  2 B 1.45-1.47
20 O 0.8578 0.8240 0.9439  2 B 1.46-1.47
21 O 0.3847 0.3271 0.4556  2 B 1.38-1.51
22 O 0.8197 0.6371 0.0858  2 B 1.46-1.48
23 O 0.9662 0.1610 0.2929  2 B 1.47-1.48
24 O 0.1803 0.3629 0.5858  2 B 1.46-1.48
25 O 0.8265 0.8755 0.5843  2 B 1.46-1.47
26 O 0.6803 0.6371 0.5858  2 B 1.46-1.48
27 O 0.6665 0.0250 0.2486  2 B 1.45-1.47
28 O 0.5899 0.9414 0.6771  2 B 1.46-1.48
29 O 0.2710 0.2502 0.7578  3 B 1.56-1.57
30 O 0.4523 0.4082 0.8637  2 B 1.45-1.47
31 O 0.3265 0.1245 0.5843  2 B 1.46-1.47
32 O 0.8358 0.4844 0.2498  2 B 1.46-1.47
33 O 0.1642 0.5156 0.7498  2 B 1.46-1.47
34 O 0.3578 0.1760 0.9439  2 B 1.46-1.47
35 O 0.1422 0.1760 0.4439  2 B 1.46-1.47
36 O 0.7710 0.7498 0.7578  3 B 1.56-1.57
37 O 0.0338 0.8390 0.7929  2 B 1.47-1.48
38 O 0.5349 0.9097 0.8741  2 B 1.38-1.51
39 O 0.4651 0.0903 0.3741  2 B 1.38-1.51
40 O 0.0349 0.0903 0.8741  2 B 1.38-1.51
41 O 0.1153 0.3271 0.9556  2 B 1.38-1.51
42 O 0.0899 0.0586 0.6771  2 B 1.46-1.48
43 O 0.8335 0.0250 0.7486  2 B 1.45-1.47
44 O 0.1735 0.1245 0.0843  2 B 1.46-1.47
45 O 0.5338 0.1610 0.7929  2 B 1.47-1.48
46 O 0.9562 0.3310 0.7963  2 B 1.38-1.51
47 O 0.4562 0.6690 0.7963  2 B 1.38-1.51
48 O 0.0477 0.4082 0.3637  2 B 1.45-1.47
49 O 0.0438 0.6690 0.2963  2 B 1.38-1.51
50 O 0.5885 0.5397 0.1717  2 B 1.47
51 O 0.4662 0.8390 0.2929  2 B 1.47-1.48
52 O 0.6642 0.4844 0.7498  2 B 1.46-1.47
53 B 0.5933 0.7502 0.3421  4 O 1.45-1.56
54 B 0.0405 0.2491 0.8727  3 O 1.38
55 B 0.7459 0.5979 0.1894  4 O 1.46-1.57
56 B 0.2538 0.0967 0.6904  4 O 1.45-1.57
57 B 0.2424 0.2465 0.0171  4 O 1.47-1.51
58 B 0.9984 0.0030 0.7710  4 O 1.47-1.51
59 B 0.4067 0.2498 0.8421  4 O 1.45-1.56
60 B 0.7424 0.7535 0.0171  4 O 1.47-1.51
61 B 0.0016 0.9970 0.2710  4 O 1.47-1.51
62 B 0.4595 0.2491 0.3727  3 O 1.38
63 B 0.0017 0.5040 0.2700  4 O 1.47-1.51
64 B 0.4983 0.5040 0.7700  4 O 1.47-1.51
65 B 0.9595 0.7509 0.3727  3 O 1.38
66 B 0.7538 0.9033 0.6904  4 O 1.45-1.57
67 B 0.7576 0.7535 0.5171  4 O 1.47-1.51
68 B 0.0933 0.2498 0.3421  4 O 1.45-1.56
69 B 0.7462 0.9033 0.1904  4 O 1.45-1.57
70 B 0.7541 0.5979 0.6894  4 O 1.46-1.57
71 B 0.2576 0.2465 0.5171  4 O 1.47-1.51
72 B 0.5017 0.4960 0.2700  4 O 1.47-1.51
73 B 0.2462 0.0967 0.1904  4 O 1.45-1.57
74 B 0.5016 0.0030 0.2710  4 O 1.47-1.51
75 B 0.9067 0.7502 0.8421  4 O 1.45-1.56
76 B 0.9983 0.4960 0.7700  4 O 1.47-1.51
77 B 0.2459 0.4021 0.1894  4 O 1.46-1.57
78 B 0.4984 0.9970 0.7710  4 O 1.47-1.51
79 B 0.5405 0.7509 0.8727  3 O 1.38
80 B 0.2541 0.4021 0.6894  4 O 1.46-1.57
81 Zn 0.4836 0.5335 0.5211  4 O 2.05-2.14
82 Zn 0.0159 0.9661 0.0246  4 O 2.07-2.14
83 Zn 0.5159 0.0339 0.0246  4 O 2.07-2.14
84 Zn 0.7390 0.2514 0.7429  4 O 2.04-2.13
85 Zn 0.4841 0.9661 0.5246  4 O 2.07-2.14
86 Zn 0.2390 0.7486 0.7429  4 O 2.04-2.13
87 Zn 0.5164 0.4665 0.0211  4 O 2.05-2.14
88 Zn 0.0164 0.5335 0.0211  4 O 2.05-2.14
89 Zn 0.9836 0.4665 0.5211  4 O 2.05-2.14
90 Zn 0.7610 0.2514 0.2429  4 O 2.04-2.13
91 Zn 0.2610 0.7486 0.2429  4 O 2.04-2.13
92 Zn 0.9841 0.0339 0.5246  4 O 2.07-2.14
93 Br 0.2290 0.7500 0.0311  3 Zn 2.61-2.63
94 Br 0.7710 0.2500 0.5311  3 Zn 2.61-2.63
95 Br 0.7290 0.2500 0.0311  3 Zn 2.61-2.63
96 Br 0.2710 0.7500 0.5311  3 Zn 2.61-2.63

- electronic total energy (eV/atom) = -7.000
- symmetry = Pca2_1
- E_form (uncorrected) (eV/atom) = -2.14
- mass density (g cm⁻³) = 4.0
- magnetic moment (μB/f.u.) = 0.0

***

[6]
Crystalline CeTh2MoN4 at its relaxed geometry, computed with PBE.

a = 3.4645 Å, b = 6.3168 Å, c = 12.0647 Å
α = 90.00°, β = 90.00°, γ = 105.92°
Closest atoms and distances in Å follow each position.
Atoms (fractional coordinates):
1 N 0.0000 0.0000 0.0000  4 Th 2.44
2 N 0.7242 0.4484 0.8694  1 Mo 2.13
3 N 0.2758 0.5516 0.3694  1 Mo 2.13
4 N 0.7242 0.4484 0.6306  1 Mo 2.13
5 N 0.2758 0.5516 0.1306  1 Mo 2.13
6 N 0.0000 0.0000 0.5000  4 Th 2.44
7 N 0.5378 0.0756 0.2500  2 Mo 2.18
8 N 0.4622 0.9244 0.7500  2 Mo 2.18
9 Mo 0.8536 0.7072 0.7500  4 N 2.13-2.18
10 Mo 0.1464 0.2928 0.2500  4 N 2.13-2.18
11 Th 0.6323 0.2645 0.0503  6 N 2.44-2.67
12 Th 0.3677 0.7355 0.5503  6 N 2.44-2.67
13 Th 0.3677 0.7355 0.9497  6 N 2.44-2.67
14 Th 0.6323 0.2645 0.4497  6 N 2.44-2.67
15 Ce 0.1162 0.2324 0.7500  6 N 2.55-2.61
16 Ce 0.8838 0.7676 0.2500  6 N 2.55-2.61

- electronic total energy (eV/atom) = -9.226
- symmetry = Cmcm
- E_form (uncorrected) (eV/atom) = -1.11
- mass density (g cm⁻³) = 9.9
- magnetic moment (μB/f.u.) = 0.0

***

[7]
Crystalline Pm3TmSc3S8 at its relaxed geometry, computed with PBE.

a = 7.6328 Å, b = 7.6329 Å, c = 7.7914 Å
α = 119.33°, β = 90.00°, γ = 120.00°
Closest atoms and distances in Å follow each position.
Atoms (fractional coordinates):
1 S 0.2671 0.0180 0.2689  2 Sc 2.63, 1 Tm 2.72, 2 Pm 2.83
2 S 0.7411 0.4821 0.7232  3 Sc 2.63, 3 Pm 2.83
3 S 0.7509 0.0180 0.2689  2 Sc 2.63, 1 Tm 2.72, 2 Pm 2.83
4 S 0.2589 0.5179 0.2768  3 Sc 2.63, 3 Pm 2.83
5 S 0.2491 0.9820 0.7311  2 Sc 2.63, 1 Tm 2.72, 2 Pm 2.83
6 S 0.7509 0.5018 0.2689  2 Sc 2.63, 1 Tm 2.72, 2 Pm 2.83
7 S 0.2491 0.4982 0.7311  2 Sc 2.63, 1 Tm 2.72, 2 Pm 2.83
8 S 0.7329 0.9820 0.7311  2 Sc 2.63, 1 Tm 2.72, 2 Pm 2.83
9 Pm 0.5000 0.5000 0.0000  6 S 2.83
10 Pm 0.0000 0.5000 0.0000  6 S 2.83
11 Pm 0.0000 0.0000 0.0000  6 S 2.83
12 Sc 0.5000 0.0000 0.5000  6 S 2.63
13 Sc 0.5000 0.5000 0.5000  6 S 2.63
14 Sc 0.0000 0.5000 0.5000  6 S 2.63
15 Tm 0.0000 0.0000 0.5000  6 S 2.72

- electronic total energy (eV/atom) = -6.701
- symmetry = R-3m
- E_form (uncorrected) (eV/atom) = -1.99
- mass density (g cm⁻³) = 5.1
- magnetic moment (μB/f.u.) = 0.0

***

[8]
Crystalline TaVB3 at its relaxed geometry, computed with PBE.

a = 4.1561 Å, b = 4.1561 Å, c = 4.1561 Å
α = 90.00°, β = 90.00°, γ = 90.00°
Closest atoms and distances in Å follow each position.
Atoms (fractional coordinates):
1 B 0.0000 0.0000 0.5000  2 Ta 2.08
2 B 0.5000 0.0000 0.0000  2 Ta 2.08
3 B 0.0000 0.5000 0.0000  2 Ta 2.08
4 Ta 0.0000 0.0000 0.0000  6 B 2.08
5 V 0.5000 0.5000 0.5000  12 B 2.94

- electronic total energy (eV/atom) = -6.849
- symmetry = Pm-3m
- mass density (g cm⁻³) = 6.1
- calculated formation energy (eV/atom) = 1.352
- polymorph energy (0 for the lowest one) (meV/atom) = 2112.7
- magnetic moment (μB/f.u.) = 2.6